# 1
Below is a geometry-optimized Re2OsRh structure, with properties calculated at the PBE-GGA level.

Values from the calculation:
Space-group type: Pmm2 (25)
Final energy, eV per atom: -11.007
Theoretical density, Mg/m³: 19.04
Offset from the most stable computed form, meV per atom: 0
Spin magnetization, μB/cell: 0.00
ΔE_f, eV per atom: -0.138

The structure in POSCAR format:
```
Re2OsRh
1.0
-2.3065 0.7345 3.6621
-1.0776 -2.5258 -0.1721
3.6293 -1.7279 2.6324
Re Os Rh
2 1 1
direct
0.0000 0.1251 0.9614
0.5000 0.1249 0.2924
0.5000 0.6252 0.7927
0.0000 0.6248 0.4535
```

=====

# 2
Below is a geometry-optimized BeCrGa3 structure, with properties calculated at the PBE-GGA level.

Values from the calculation:
Space-group type: Pm-3m (221)
Final energy, eV per atom: -3.664
Theoretical density, Mg/m³: 4.28
Offset from the most stable computed form, meV per atom: 0
Spin magnetization, μB/cell: 2.18
ΔE_f, eV per atom: 0.822

The structure in POSCAR format:
```
BeCrGa3
1.0
-0.4510 4.6858 -0.2745
-4.1164 -0.5273 -2.2388
-2.2555 0.0255 4.1410
Cr Ga Be
1 3 1
direct
0.0000 0.0000 0.0000
0.0000 0.5000 0.0000
0.0000 0.0000 0.5000
0.5000 0.0000 0.0000
0.5000 0.5000 0.5000
```

=====

# 3
Below is a geometry-optimized LiY2SiPd6 structure, with properties calculated at the PBE-GGA level.

Values from the calculation:
Space-group type: C2/m (12)
Final energy, eV per atom: -5.712
Theoretical density, Mg/m³: 7.79
Uncorrected formation energy, eV/atom: -0.569
Spin magnetization, μB/cell: 0.00

The structure in POSCAR format:
```
LiY2SiPd6
1.0
-6.1523 -1.4942 0.4873
1.5141 -6.1411 0.5974
-1.9684 -3.1237 4.9785
Li Y Si Pd
1 2 1 6
direct
0.0000 0.0000 0.0000
0.7378 0.2625 0.4998
0.2622 0.7375 0.5002
0.5000 0.5000 0.0000
0.2321 0.2318 0.5068
0.7699 0.7702 0.9665
0.2467 0.7538 0.9998
0.7533 0.2462 0.0002
0.2301 0.2298 0.0335
0.7679 0.7682 0.4932
```

=====

# 4
Below is a geometry-optimized AcCo2Ge structure, with properties calculated at the PBE-GGA level.

Values from the calculation:
Space-group type: Cmmm (65)
Final energy, eV per atom: -5.851
Theoretical density, Mg/m³: 8.06
Spin magnetization, μB/cell: 1.40
ΔE_f, eV per atom: -0.117

The structure in POSCAR format:
```
AcCo2Ge
1.0
4.5041 0.0000 0.0000
0.0000 4.4411 -1.2331
0.0000 -0.8399 4.5319
Ac Co Ge
1 2 1
direct
0.0000 0.0000 0.0000
0.5000 0.5000 0.0000
0.5000 0.0000 0.5000
0.5000 0.5000 0.5000
```

=====

# 5
Below is a geometry-optimized PPb2Cl structure, with properties calculated at the PBE-GGA level.

Values from the calculation:
Space-group type: Pm (6)
Final energy, eV per atom: -3.892
Theoretical density, Mg/m³: 7.11
Uncorrected formation energy, eV/atom: -0.224
Offset from the most stable computed form, meV per atom: 210
Spin magnetization, μB/cell: 0.00

The structure in POSCAR format:
```
PPb2Cl
1.0
-1.1274 3.1587 -5.0418
-3.8269 1.1304 1.5639
1.7546 3.5182 1.8118
Cl P Pb
1 1 2
direct
0.0000 0.3783 0.3882
0.5000 0.8775 0.8836
0.0000 0.8770 0.8831
0.5000 0.3673 0.3451
```

=====

# 6
Below is a geometry-optimized LaMo2Se structure, with properties calculated at the PBE-GGA level.

Values from the calculation:
Space-group type: P4/mmm (123)
Final energy, eV per atom: -7.112
Theoretical density, Mg/m³: 8.09
Uncorrected formation energy, eV/atom: 0.407
Spin magnetization, μB/cell: 0.00

The structure in POSCAR format:
```
LaMo2Se
1.0
-3.0326 0.5815 1.9413
-0.1341 -3.5439 0.8520
3.5031 1.1035 5.1418
La Mo Se
1 2 1
direct
0.5000 0.5000 0.7500
0.0000 0.0000 0.0671
0.0000 0.0000 0.4329
0.5000 0.5000 0.2500
```

=====

# 7
Below is a geometry-optimized BeAl2Hg structure, with properties calculated at the PBE-GGA level.

Values from the calculation:
Space-group type: R3m (160)
Final energy, eV per atom: -2.598
Theoretical density, Mg/m³: 6.55
Offset from the most stable computed form, meV per atom: 17
Spin magnetization, μB/cell: 0.00
ΔE_f, eV per atom: 0.281

The structure in POSCAR format:
```
BeAl2Hg
1.0
8.7511 0.1214 0.0717
8.1966 3.0681 0.0717
8.1966 1.5426 2.6531
Be Hg Al
1 1 2
direct
0.5030 0.5030 0.5030
0.7592 0.7592 0.7592
0.9962 0.9962 0.9962
0.2416 0.2416 0.2416
```

=====

# 8
Below is a geometry-optimized YScSb2F structure, with properties calculated at the PBE-GGA level.

Values from the calculation:
Space-group type: P4/mmm (123)
Final energy, eV per atom: -4.797
Theoretical density, Mg/m³: 4.11
Uncorrected formation energy, eV/atom: -0.215
Spin magnetization, μB/cell: 0.00

The structure in POSCAR format:
```
YScSb2F
1.0
5.2586 0.0000 0.0000
0.0000 5.7895 0.0000
0.0000 0.0000 5.2586
Y Sb Sc F
1 2 1 1
direct
0.0000 0.5000 0.0000
0.0000 0.0000 0.5000
0.5000 0.0000 0.0000
0.0000 0.0000 0.0000
0.5000 0.5000 0.5000
```